DFT (PBE with a Hubbard U) results for a relaxed structure of Li2InFeP4O14.

final energy	-6.84	eV per atom
symmetry	No. 1

a b c (Å): 4.9462 7.0748 8.4375
angles (deg): 90.22 90.17 108.91
Element x y z (fractional)
O1 0.2633 0.9837 0.8262
O2 0.3567 0.6195 0.1721
O3 0.9067 0.5921 0.9231
O4 0.6886 0.9823 0.0237
O5 0.2984 0.0032 0.5242
O6 0.9099 0.1014 0.6716
O7 0.1213 0.4376 0.4142
P1 0.1009 0.9689 0.6687
O8 0.6360 0.3798 0.6978
Li1 0.3107 0.8261 0.3405
O9 0.0778 0.2579 0.1427
O10 0.7417 0.9983 0.3243
P2 0.7144 0.5848 0.7793
O11 0.5481 0.3625 0.2958
P3 0.2850 0.4222 0.2629
P4 0.8973 0.0233 0.1643
O12 0.4511 0.6405 0.8201
O13 0.8962 0.7397 0.6462
Li2 0.6817 0.1620 0.8474
Fe1 0.2878 0.7718 0.9858
In1 0.7181 0.2367 0.4851
O14 0.1082 0.9057 0.1593